Below is crystalline KIO2F2 at its relaxed geometry, with properties calculated at the GGA-PBEsol level.

Computed properties:
Its spin magnetization is 0.0 Bohr magnetons per cell. The density of states at the Fermi level is 0.00 states/eV per cell. The formation energy without anion corrections is -1.50 eV/atom. As for the space-group type: Pca2_1.

Unit cell a=5.7260 b=8.5515 c=8.3299 alpha=90.00 beta=90.00 gamma=90.00
Sites, in units of the cell vectors:
F: 0.1843 0.0954 0.5764
F: 0.8157 0.5954 0.4236
F: 0.8157 0.0954 0.0764
F: 0.1843 0.5954 0.9236
F: 0.8055 0.9362 0.4063
F: 0.1945 0.4362 0.5937
F: 0.1945 0.9362 0.9063
F: 0.8055 0.4362 0.0937
I: 0.4948 0.0202 0.4852
I: 0.5052 0.5202 0.5148
I: 0.5052 0.0202 0.9852
I: 0.4948 0.5202 0.0148
K: 0.0297 0.2592 0.3030
K: 0.9703 0.7592 0.6970
K: 0.9703 0.2592 0.8030
K: 0.0297 0.7592 0.1970
O: 0.3583 0.0084 0.2897
O: 0.6417 0.5084 0.7103
O: 0.6417 0.0084 0.7897
O: 0.3583 0.5084 0.2103
O: 0.6129 0.2155 0.4779
O: 0.3871 0.7155 0.5221
O: 0.3871 0.2155 0.9779
O: 0.6129 0.7155 0.0221

Below is crystalline La3IF at its relaxed geometry, with properties calculated at the GGA-PBEsol level.

Computed properties:
Its spin magnetization is 0.0 Bohr magnetons per cell. The density of states at the Fermi level is 4.70 states/eV per cell. The formation energy without anion corrections is -1.19 eV/atom. As for the space-group type: Pm-3m.

Unit cell a=5.0202 b=5.0202 c=5.0202 alpha=90.00 beta=90.00 gamma=90.00
Sites, in units of the cell vectors:
I: 0.5000 0.5000 0.5000
F: 0.0000 0.0000 0.0000
La: 0.0000 0.5000 0.0000
La: 0.0000 0.0000 0.5000
La: 0.5000 0.0000 0.0000

Below is crystalline LaI2F at its relaxed geometry, with properties calculated at the GGA-PBEsol level.

Computed properties:
Its spin magnetization is 0.0 Bohr magnetons per cell. The density of states at the Fermi level is 0.00 states/eV per cell. The formation energy without anion corrections is -1.77 eV/atom. As for the space-group type: Fm-3m.

Unit cell a=5.3085 b=5.3085 c=5.3085 alpha=60.00 beta=60.00 gamma=60.00
Sites, in units of the cell vectors:
I: 0.2500 0.2500 0.2500
I: 0.7500 0.7500 0.7500
F: 0.0000 0.0000 0.0000
La: 0.5000 0.5000 0.5000

Below is crystalline LaIF2 at its relaxed geometry, with properties calculated at the GGA-PBEsol level.

Computed properties:
Its spin magnetization is 0.0 Bohr magnetons per cell. The density of states at the Fermi level is 2.68 states/eV per cell. The formation energy without anion corrections is -1.71 eV/atom. As for the space-group type: R-3m.

Unit cell a=3.5940 b=3.5940 c=10.6026 alpha=80.24 beta=80.24 gamma=60.00
Sites, in units of the cell vectors:
I: 0.5000 0.5000 0.5000
F: 0.9336 0.9336 0.1992
F: 0.0664 0.0664 0.8008
La: 0.0000 0.0000 0.0000

Below is crystalline LaI2F at its relaxed geometry, with properties calculated at the GGA-PBEsol level.

Computed properties:
Its spin magnetization is 0.0 Bohr magnetons per cell. The formation energy without anion corrections is -1.35 eV/atom. As for the space-group type: I-42d.

Unit cell a=5.1492 b=5.1492 c=10.5566 alpha=104.12 beta=104.12 gamma=90.00
Sites, in units of the cell vectors:
I: 0.8706 0.3750 0.2500
I: 0.3794 0.8750 0.2500
I: 0.6250 0.6206 0.7500
I: 0.1250 0.1294 0.7500
F: 0.7500 0.2500 0.5000
F: 0.5000 0.5000 0.0000
La: 0.2500 0.7500 0.5000
La: 0.0000 0.0000 0.0000

Below is crystalline LaIF2 at its relaxed geometry, with properties calculated at the GGA-PBEsol level.

Computed properties:
Its spin magnetization is 0.0 Bohr magnetons per cell. The density of states at the Fermi level is 0.00 states/eV per cell. The formation energy without anion corrections is -3.24 eV/atom. As for the space-group type: R-3m.

Unit cell a=4.1258 b=4.1258 c=6.0479 alpha=70.06 beta=70.06 gamma=60.00
Sites, in units of the cell vectors:
I: 0.0000 0.0000 0.0000
La: 0.5000 0.5000 0.5000
F: 0.8050 0.8050 0.5850
F: 0.1950 0.1950 0.4150

Below is crystalline LaTe2IF at its relaxed geometry, with properties calculated at the GGA-PBEsol level.

Computed properties:
Its spin magnetization is 2.7 Bohr magnetons per cell. The density of states at the Fermi level is 10.00 states/eV per cell. The formation energy without anion corrections is -0.31 eV/atom. As for the space-group type: P4/mmm.

Unit cell a=6.0993 b=6.1853 c=6.1853 alpha=90.00 beta=90.00 gamma=90.00
Site moments in Bohr magnetons follow the coordinates.
Sites, in units of the cell vectors:
I: 0.5000 0.0000 0.0000  0.13
F: 0.5000 0.5000 0.5000  0.42
Te: 0.0000 0.0000 0.5000  0.52
Te: 0.0000 0.5000 0.0000  0.52
La: 0.0000 0.0000 0.0000  0.01

Below is crystalline LiI2OF at its relaxed geometry, with properties calculated at the GGA-PBEsol level.

Computed properties:
Its spin magnetization is 2.5 Bohr magnetons per cell. The density of states at the Fermi level is 5.03 states/eV per cell. The formation energy without anion corrections is -0.12 eV/atom. As for the space-group type: P4/mmm.

Unit cell a=3.3436 b=5.3039 c=5.3039 alpha=90.00 beta=90.00 gamma=90.00
Site moments in Bohr magnetons follow the coordinates.
Sites, in units of the cell vectors:
I: 0.0000 0.0000 0.5000  0.43
I: 0.0000 0.5000 0.0000  0.43
Li: 0.0000 0.0000 0.0000  -0.01
O: 0.5000 0.0000 0.0000  0.80
F: 0.5000 0.5000 0.5000  0.29

Below is crystalline LiSb2IF at its relaxed geometry, with properties calculated at the GGA-PBEsol level.

Computed properties:
Its spin magnetization is 0.0 Bohr magnetons per cell. The density of states at the Fermi level is 2.86 states/eV per cell. The formation energy without anion corrections is -0.38 eV/atom. As for the space-group type: P4/mmm.

Unit cell a=4.6060 b=4.6060 c=6.3148 alpha=90.00 beta=90.00 gamma=90.00
Sites, in units of the cell vectors:
I: 0.0000 0.0000 0.5000
Sb: 0.0000 0.5000 0.0000
Sb: 0.5000 0.0000 0.0000
Li: 0.5000 0.5000 0.5000
F: 0.0000 0.0000 0.0000

Below is crystalline MgIF3 at its relaxed geometry, with properties calculated at the GGA-PBEsol level.

Computed properties:
Its spin magnetization is 2.0 Bohr magnetons per cell. The density of states at the Fermi level is 1.57 states/eV per cell. The formation energy without anion corrections is -2.06 eV/atom. As for the space-group type: Pm-3m.

Unit cell a=4.1258 b=4.1258 c=4.1258 alpha=90.00 beta=90.00 gamma=90.00
Site moments in Bohr magnetons follow the coordinates.
Sites, in units of the cell vectors:
F: 0.0000 0.5000 0.5000  0.16
F: 0.5000 0.0000 0.5000  0.16
F: 0.5000 0.5000 0.0000  0.16
I: 0.0000 0.0000 0.0000  1.07
Mg: 0.5000 0.5000 0.5000  0.00

Below is crystalline MgIOF2 at its relaxed geometry, with properties calculated at the GGA-PBEsol level.

Computed properties:
Its spin magnetization is 0.0 Bohr magnetons per cell. The density of states at the Fermi level is 2.50 states/eV per cell. The formation energy without anion corrections is -1.70 eV/atom. As for the space-group type: P4/mmm.

Unit cell a=3.6830 b=3.6830 c=5.1293 alpha=90.00 beta=90.00 gamma=90.00
Sites, in units of the cell vectors:
I: 0.5000 0.5000 0.5000
Mg: 0.0000 0.0000 0.0000
O: 0.0000 0.0000 0.5000
F: 0.0000 0.5000 0.0000
F: 0.5000 0.0000 0.0000

Below is crystalline MgIOF2 at its relaxed geometry, with properties calculated at the GGA-PBEsol level.

Computed properties:
Its spin magnetization is 0.3 Bohr magnetons per cell. The density of states at the Fermi level is 2.53 states/eV per cell. The formation energy without anion corrections is -0.64 eV/atom. As for the space-group type: P4/mmm.

Unit cell a=3.9854 b=4.9085 c=4.9085 alpha=90.00 beta=90.00 gamma=90.00
Site moments in Bohr magnetons follow the coordinates.
Sites, in units of the cell vectors:
I: 0.0000 0.0000 0.0000  0.02
Mg: 0.5000 0.5000 0.5000  0.07
O: 0.5000 0.0000 0.0000  -0.01
F: 0.0000 0.0000 0.5000  0.01
F: 0.0000 0.5000 0.0000  0.01

Below is crystalline MnI2F at its relaxed geometry, with properties calculated at the GGA-PBEsol level.

Computed properties:
Its spin magnetization is 8.0 Bohr magnetons per cell. The density of states at the Fermi level is 5.92 states/eV per cell. The formation energy without anion corrections is -0.32 eV/atom. As for the space-group type: I-42d.

Unit cell a=6.3611 b=6.3611 c=6.3611 alpha=105.12 beta=111.69 gamma=111.69
Site moments in Bohr magnetons follow the coordinates.
Sites, in units of the cell vectors:
I: 0.0207 0.6457 0.1250  -0.04
I: 0.9793 0.1043 0.6250  -0.04
I: 0.4793 0.3750 0.3543  -0.04
I: 0.5207 0.8750 0.8957  -0.04
Mn: 0.0000 0.0000 0.0000  3.87
Mn: 0.5000 0.7500 0.2500  3.87
F: 0.0000 0.5000 0.5000  -0.11
F: 0.5000 0.2500 0.7500  -0.11

Below is crystalline MoI3F at its relaxed geometry, with properties calculated at the GGA-PBEsol level.

Computed properties:
Its spin magnetization is 0.0 Bohr magnetons per cell. The density of states at the Fermi level is 3.56 states/eV per cell. The formation energy without anion corrections is 0.12 eV/atom. As for the space-group type: Pm-3m.

Unit cell a=5.3080 b=5.3080 c=5.3080 alpha=90.00 beta=90.00 gamma=90.00
Sites, in units of the cell vectors:
I: 0.0000 0.5000 0.0000
I: 0.0000 0.0000 0.5000
I: 0.5000 0.0000 0.0000
Mo: 0.0000 0.0000 0.0000
F: 0.5000 0.5000 0.5000

Below is crystalline MoIO2F at its relaxed geometry, with properties calculated at the GGA-PBEsol level.

Computed properties:
Its spin magnetization is 4.7 Bohr magnetons per cell. The density of states at the Fermi level is 3.50 states/eV per cell. The formation energy without anion corrections is 0.50 eV/atom. As for the space-group type: P4/mmm.

Unit cell a=3.9975 b=3.9975 c=5.4754 alpha=90.00 beta=90.00 gamma=90.00
Site moments in Bohr magnetons follow the coordinates.
Sites, in units of the cell vectors:
I: 0.0000 0.0000 0.0000  -0.01
Mo: 0.5000 0.5000 0.5000  4.09
O: 0.0000 0.5000 0.0000  0.02
O: 0.5000 0.0000 0.0000  0.02
F: 0.0000 0.0000 0.5000  0.00

Below is crystalline Sb2MoIF at its relaxed geometry, with properties calculated at the GGA-PBEsol level.

Computed properties:
Its spin magnetization is 0.0 Bohr magnetons per cell. The density of states at the Fermi level is 4.72 states/eV per cell. The formation energy without anion corrections is 0.19 eV/atom. As for the space-group type: P4/mmm.

Unit cell a=5.1218 b=5.1218 c=5.3205 alpha=90.00 beta=90.00 gamma=90.00
Sites, in units of the cell vectors:
I: 0.0000 0.0000 0.5000
Sb: 0.0000 0.5000 0.0000
Sb: 0.5000 0.0000 0.0000
Mo: 0.0000 0.0000 0.0000
F: 0.5000 0.5000 0.5000

Below is crystalline SnMoIF2 at its relaxed geometry, with properties calculated at the GGA-PBEsol level.

Computed properties:
Its spin magnetization is 3.5 Bohr magnetons per cell. The density of states at the Fermi level is 3.30 states/eV per cell. The formation energy without anion corrections is 0.32 eV/atom. As for the space-group type: P4/mmm.

Unit cell a=4.3272 b=4.3272 c=6.3312 alpha=90.00 beta=90.00 gamma=90.00
Site moments in Bohr magnetons follow the coordinates.
Sites, in units of the cell vectors:
I: 0.0000 0.0000 0.0000  0.03
Mo: 0.5000 0.5000 0.5000  3.15
Sn: 0.0000 0.0000 0.5000  -0.14
F: 0.0000 0.5000 0.0000  0.01
F: 0.5000 0.0000 0.0000  0.01

Below is crystalline NaIN2F at its relaxed geometry, with properties calculated at the GGA-PBEsol level.

Computed properties:
Its spin magnetization is 7.0 Bohr magnetons per cell. The density of states at the Fermi level is 1.70 states/eV per cell. The formation energy without anion corrections is 1.72 eV/atom. As for the space-group type: P4/mmm.

Unit cell a=4.5816 b=4.5816 c=5.9081 alpha=90.00 beta=90.00 gamma=90.00
Site moments in Bohr magnetons follow the coordinates.
Sites, in units of the cell vectors:
I: 0.0000 0.0000 0.5000  0.69
Na: 0.0000 0.0000 0.0000  0.02
N: 0.0000 0.5000 0.0000  1.80
N: 0.5000 0.0000 0.0000  1.80
F: 0.5000 0.5000 0.5000  0.47

Below is crystalline NaIN2F at its relaxed geometry, with properties calculated at the GGA-PBEsol level.

Computed properties:
Its spin magnetization is 0.0 Bohr magnetons per cell. The density of states at the Fermi level is 1.49 states/eV per cell. The formation energy without anion corrections is 0.51 eV/atom. As for the space-group type: P4/mmm.

Unit cell a=4.0169 b=4.0169 c=4.7057 alpha=90.00 beta=90.00 gamma=90.00
Sites, in units of the cell vectors:
I: 0.0000 0.0000 0.0000
Na: 0.5000 0.5000 0.5000
N: 0.0000 0.5000 0.0000
N: 0.5000 0.0000 0.0000
F: 0.0000 0.0000 0.5000

Below is crystalline NaIN2F at its relaxed geometry, with properties calculated at the GGA-PBEsol level.

Computed properties:
Its spin magnetization is 4.8 Bohr magnetons per cell. The density of states at the Fermi level is 2.96 states/eV per cell. The formation energy without anion corrections is 1.29 eV/atom. As for the space-group type: P4/mmm.

Unit cell a=3.9706 b=4.7049 c=4.7049 alpha=90.00 beta=90.00 gamma=90.00
Site moments in Bohr magnetons follow the coordinates.
Sites, in units of the cell vectors:
I: 0.5000 0.5000 0.5000  0.02
Na: 0.0000 0.0000 0.0000  0.02
N: 0.0000 0.0000 0.5000  1.59
N: 0.0000 0.5000 0.0000  1.59
F: 0.5000 0.0000 0.0000  0.11